A relaxed structure of Tm8P3Se3S. Source: the Alexandria database, functional PBE.

- Formation energy without anion corrections: -1.62 eV per atom
- N(E_F): 4.861 states/eV/f.u.

a b c (Å): 7.9191 7.9191 7.9191
angles (deg): 59.47 59.47 59.47
Fractional positions:
Tm: 0.2391 0.7471 0.7471
Tm: 0.2423 0.2423 0.2423
Tm: 0.2529 0.2529 0.7609
Tm: 0.2529 0.7609 0.2529
Tm: 0.7471 0.2391 0.7471
Tm: 0.7471 0.7471 0.2391
Tm: 0.7577 0.7577 0.7577
Tm: 0.7609 0.2529 0.2529
P: 0.0000 0.0000 0.5000
P: 0.0000 0.5000 0.0000
P: 0.5000 0.0000 0.0000
Se: 0.0000 0.5000 0.5000
Se: 0.5000 0.0000 0.5000
Se: 0.5000 0.5000 0.0000
S: 0.5000 0.5000 0.5000